VASP calculation (PBE-GGA) on an optimized crystal structure of Sn2Au2O5.

Results
ΔE to the lowest computed polymorph (meV per atom): 339.5
E (eV/atom): -4.55

POSCAR file:
```
Sn2Au2O5
1.0
4.173 0.000 0.000
0.000 4.173 0.000
0.000 0.000 7.341
Sn Au O
2 2 5
Cartesian
0.000 0.000 0.000
0.000 0.000 3.670
2.087 2.087 1.466
2.087 2.087 5.875
0.000 2.087 1.361
0.000 2.087 5.980
2.087 0.000 1.361
2.087 0.000 5.980
2.087 2.087 3.670
```